Here is an optimized crystal structure of KY2P from Alexandria via LeMat-Bulk. Energies are from GGA-PBE.

a = 7.667 Å, b = 7.667 Å, c = 7.667 Å
α = 90.00°, β = 90.00°, γ = 90.00°
Sites, in units of the cell vectors:
K1 0.000 0.000 0.000
K2 0.000 0.500 0.500
K3 0.500 0.000 0.500
K4 0.500 0.500 0.000
Y1 0.000 0.000 0.500
Y2 0.000 0.500 0.000
Y3 0.250 0.250 0.250
Y4 0.250 0.750 0.750
Y5 0.500 0.000 0.000
Y6 0.500 0.500 0.500
Y7 0.750 0.250 0.750
Y8 0.750 0.750 0.250
P1 0.250 0.250 0.750
P2 0.250 0.750 0.250
P3 0.750 0.250 0.250
P4 0.750 0.750 0.750

Calculated values
DFT formation energy	0.426	eV/atom
D(E_F)	1.784	states/eV per atom
total magnetic moment	6.41	μB per cell
total DFT energy (no corrections)	-17.732	eV/f.u.
space-group type	F-43m (216)